Below is a relaxed SrMn2Sb crystal, with properties calculated at the GGA-PBEsol level.

The structure belongs to space group R3m (No. 160, hexagonal axes); the cell edges are 4.1604, 4.1604 and 17.8177 Å and the angles 90.00°, 90.00° and 120.00°. The inequivalent atoms are Sr at (0.0000, 0.0000, 0.0000), Mn at (0.0000, 0.0000, 0.4719), Mn at (0.0000, 0.0000, 0.7936) and Sb at (0.0000, 0.0000, 0.2026).

The value obtained for the uncorrected formation energy is -13 kJ/mol of formula units. Its raw total energy is -6.514 eV/atom.

---

Below is a relaxed Na2Os2Au crystal, with properties calculated at the GGA-PBEsol level.

The structure belongs to space group I4/mmm (No. 139); the cell edges are 3.473, 3.473 and 14.793 Å and the angles 90.00°, 90.00° and 90.00°. The inequivalent atoms are Na at (0.000, 0.500, 0.250), Os at (0.000, 0.000, 0.082) and Au at (0.000, 0.000, 0.500).

The value obtained for the formation energy is 7.505 eV/f.u. Its raw total energy is -4.730 eV/atom.

---

Below is a relaxed Sr2Sn2Bi crystal, with properties calculated at the GGA-PBEsol level.

The structure belongs to space group P4/mbm (No. 127); the cell edges are 8.197, 8.197 and 4.806 Å and the angles 90.00°, 90.00° and 90.00°. The inequivalent atoms are Sr at (0.175, 0.325, 0.000), Sn at (0.124, 0.624, 0.500) and Bi at (0.000, 0.000, 0.500).

The value obtained for the formation energy is -3.266 eV/f.u. Its raw total energy is -3.950 eV/atom.

---

Below is a relaxed NbP2OsCl crystal, with properties calculated at the GGA-PBEsol level.

The structure belongs to space group P4/mmm (No. 123); the cell edges are 4.473, 4.473 and 4.903 Å and the angles 90.00°, 90.00° and 90.00°. The inequivalent atoms are Nb at (0.000, 0.000, 0.000), P at (0.000, 0.500, 0.500), Os at (0.500, 0.500, 0.500) and Cl at (0.500, 0.500, 0.000).

The value obtained for the uncorrected formation energy is 444 kJ/mol of formula units. The energy above the most stable polymorph in this dataset is 0.00 kJ/mol of atoms. Its raw total energy is -6.405 eV/atom.